1.
Below is an optimized crystal structure of KReSe2Cl, with properties calculated at the PBE-GGA level.

Calculated values
energy = -17.559 eV for the cell shown
space group = No. 123
uncorrected formation energy = 0.96 eV per atom

Geometry as POSCAR:
```
KReSe2Cl
1.0
5.6599 0.0000 0.0000
0.0000 4.4036 0.0000
0.0000 0.0000 5.6599
Re K Se Cl
1 1 2 1
Cartesian
0.0000 2.2018 0.0000
2.8300 2.2018 2.8300
0.0000 0.0000 2.8300
2.8300 0.0000 0.0000
0.0000 0.0000 0.0000
```

***

2.
Below is an optimized crystal structure of FeRuPb, with properties calculated at the PBE-GGA level.

Calculated values
offset from the most stable computed form = 84 meV/atom
energy = -19.704 eV for the cell shown
space group = No. 156

Geometry as POSCAR:
```
FeRuPb
1.0
-1.0659 -2.5487 3.3195
-0.7354 -1.3079 -4.0497
2.9010 -1.3370 -0.0950
Fe Pb Ru
1 1 1
Cartesian
2.6358 -1.2148 -0.0864
-0.0197 -2.5665 0.8325
1.3845 -2.7493 -1.6664
```

***

3.
Below is an optimized crystal structure of ScNiTe, with properties calculated at the PBE-GGA level.

Calculated values
energy = -17.312 eV for the cell shown
space group = No. 156
uncorrected formation energy = -0.69 eV per atom

Geometry as POSCAR:
```
ScNiTe
1.0
-1.3727 -1.3878 3.6818
-1.0358 -2.0082 -3.5015
3.1210 -2.1956 0.3360
Ni Sc Te
1 1 1
Cartesian
2.7998 -1.9697 0.3014
-0.3033 -2.2679 1.3904
1.3370 -3.5497 -0.8395
```

***

4.
Below is an optimized crystal structure of Sm6As2P3Cl, with properties calculated at the PBE-GGA level.

Calculated values
energy = -74.948 eV for the cell shown
space group = No. 12
uncorrected formation energy = -1.60 eV per atom

Geometry as POSCAR:
```
Sm6As2P3Cl
1.0
-3.5634 -0.7151 -1.9628
1.5245 -8.1865 0.2148
-2.7530 1.8999 8.6519
Sm As P Cl
6 2 3 1
Cartesian
-1.5615 -6.5098 5.2065
-2.3919 -4.6424 1.6874
-3.2303 -0.4918 1.6975
-5.8845 -1.0403 6.7157
1.0926 -5.9614 0.1883
-2.4000 -2.3592 5.2165
-3.7989 -4.8223 4.3074
-0.9929 -2.1794 2.5966
-1.0194 -4.4508 -0.8740
-4.5695 -0.6797 4.1971
-0.2224 -6.3220 2.7069
-1.7817 -0.3575 -0.9814
```

***

5.
Below is an optimized crystal structure of RbUNiSe3, with properties calculated at the PBE-GGA level.

Calculated values
energy = -69.130 eV for the cell shown
space group = No. 11
uncorrected formation energy = -1.01 eV per atom

Geometry as POSCAR:
```
RbUNiSe3
1.0
-0.0106 1.8109 -3.6023
-4.3257 -7.5248 -3.7701
-6.3076 6.6043 3.3387
Rb U Ni Se
2 2 2 6
Cartesian
-2.4755 0.5091 -0.8649
-8.1684 0.3813 -3.1688
-4.0030 -3.6270 -2.9397
-6.6409 4.5174 -1.0940
-4.1187 3.7331 0.7606
-6.5252 -2.8427 -4.7943
-4.7436 -4.3220 -5.5433
-5.9003 5.2124 1.5096
-6.4615 -2.5547 -2.3934
-4.1824 3.4450 -1.6403
-3.0111 -1.1253 -3.9413
-7.6328 2.0156 -0.0924
```

***

6.
Below is an optimized crystal structure of Ho4Cd2Ag, with properties calculated at the PBE-GGA level.

Calculated values
energy = -23.883 eV for the cell shown
space group = No. 166

Geometry as POSCAR:
```
Ho4Cd2Ag
1.0
0.8710 4.9071 1.3717
-2.1665 1.9086 4.2876
6.2291 -0.1530 6.3316
Ho Ag Cd
4 1 2
Cartesian
1.2342 5.8948 7.3475
3.6994 0.7679 4.6434
0.0195 4.2223 4.3622
4.9141 2.4404 7.6287
0.0000 0.0000 0.0000
3.7018 4.9965 8.9942
1.2319 1.6662 2.9967
```

***

7.
Below is an optimized crystal structure of La2EuEr, with properties calculated at the PBE-GGA level.

Calculated values
offset from the most stable computed form = 0 meV/atom
energy = -24.529 eV for the cell shown
space group = No. 123

Geometry as POSCAR:
```
La2EuEr
1.0
-1.9674 3.0918 0.7297
-1.5819 -1.6978 2.9288
7.6889 3.4417 6.1480
Eu La Er
1 2 1
Cartesian
2.0698 2.4179 4.9032
5.8838 2.6337 4.7047
1.8051 0.8080 1.4433
-1.7746 0.6970 1.8292
```

***

8.
Below is an optimized crystal structure of CsLiTb2Br8, with properties calculated at the PBE-GGA level.

Calculated values
energy = -46.350 eV for the cell shown
space group = No. 2
uncorrected formation energy = -1.74 eV per atom

Geometry as POSCAR:
```
CsLiTb2Br8
1.0
7.3253 0.5817 -0.0012
0.7057 7.2456 -0.0063
0.0143 0.0145 8.8361
Cs Li Tb Br
1 1 2 8
Cartesian
0.0072 0.0073 4.4181
0.0000 0.0000 0.0000
4.0275 3.9262 6.7253
4.0178 3.9156 2.1033
1.6825 5.3871 1.7999
5.0725 5.5702 8.8308
6.3485 2.4350 1.7965
6.3628 2.4547 7.0287
2.9728 2.2717 -0.0022
1.6968 5.4069 7.0321
4.9479 5.4708 4.4085
3.0974 2.3710 4.4201
```

***

9.
Below is an optimized crystal structure of CsKAs4, with properties calculated at the PBE-GGA level.

Calculated values
energy = -44.821 eV for the cell shown
space group = No. 2

Geometry as POSCAR:
```
CsKAs4
1.0
13.6742 3.3490 -5.2418
-4.9469 4.3319 -3.7083
-2.6396 -3.2961 8.7110
Cs K As
2 2 8
Cartesian
-1.8191 1.2042 3.7540
7.9068 3.1807 -3.9930
4.9185 2.8808 1.1040
1.1691 1.5041 -1.3430
0.8501 -1.2282 4.5465
7.5923 0.4769 1.9112
-2.2140 1.7163 0.0914
4.5782 3.4942 -2.4939
1.5094 0.8906 2.2549
8.3017 2.6685 -0.3304
-1.5046 3.9079 -2.1502
5.2375 5.6131 -4.7855
```

***

10.
Below is an optimized crystal structure of La3PmSm3S8, with properties calculated at the PBE-GGA level.

Calculated values
energy = -98.243 eV for the cell shown
space group = No. 166
uncorrected formation energy = -2.10 eV per atom

Geometry as POSCAR:
```
La3PmSm3S8
1.0
-3.8977 -7.0990 0.2432
2.1192 3.2162 -7.1285
5.7786 -3.0025 4.9677
La Pm Sm S
3 1 3 8
Cartesian
0.0000 0.0000 0.0000
1.0596 1.6081 -3.5642
-0.8893 -1.9414 -3.4426
2.8893 -1.5012 2.4838
0.9404 -5.0508 2.6054
2.0000 -3.4427 -0.9588
3.9489 0.1068 -1.0804
1.5884 -0.9495 -2.2585
2.4116 -5.9359 0.3410
-0.3641 -4.4966 -2.1294
4.3642 -2.3888 0.2119
-1.4203 -6.0995 1.4232
5.4203 -0.7858 -3.3408
0.5224 -2.5615 1.3020
3.4777 -4.3239 -3.2196
```

***

11.
Below is an optimized crystal structure of Ga2Sn2Br, with properties calculated at the PBE-GGA level.

Calculated values
offset from the most stable computed form = 29 meV/atom
energy = -31.627 eV for the cell shown
space group = No. 127
uncorrected formation energy = -0.02 eV per atom

Geometry as POSCAR:
```
Ga2Sn2Br
1.0
8.5595 0.0000 0.0000
0.0000 8.5595 0.0000
0.0000 0.0000 3.3947
Ga Sn Br
4 4 2
Cartesian
2.9487 7.2284 0.0000
7.2284 5.6109 0.0000
5.6109 1.3311 0.0000
1.3311 2.9487 0.0000
1.2301 5.5099 1.6973
5.5099 7.3294 1.6973
7.3294 3.0496 1.6973
3.0496 1.2301 1.6973
0.0000 0.0000 0.0000
4.2798 4.2798 0.0000
```

***

12.
Below is an optimized crystal structure of BePt2Se, with properties calculated at the PBE-GGA level.

Calculated values
offset from the most stable computed form = 0 meV/atom
energy = -20.255 eV for the cell shown
space group = No. 123
uncorrected formation energy = -0.24 eV per atom

Geometry as POSCAR:
```
BePt2Se
1.0
-2.1672 1.7926 -0.2689
-0.0183 -0.4407 -2.7906
-4.7031 -5.5497 0.9073
Be Se Pt
1 1 2
Cartesian
-4.6201 -3.4864 -0.8492
-2.2685 -0.7115 -1.3029
-4.4335 -5.2316 0.8553
-2.6212 -3.0930 0.5057
```